(1)
Density functional theory data (PBE-GGA) for crystalline Sc3BrF at its relaxed geometry.

a b c (Å): 4.6201 4.6201 4.6201
angles (deg): 90.00 90.00 90.00
With the nearest neighbours (Å) after each atom.
Fractional coordinates of all 5 atoms:
Sc1 0.0000 0.0000 0.5000  2 F 2.31
Sc2 0.0000 0.5000 0.0000  2 F 2.31
Sc3 0.5000 0.0000 0.0000  2 F 2.31
Br1 0.5000 0.5000 0.5000  12 Sc 3.27
F1 0.0000 0.0000 0.0000  6 Sc 2.31

Calculated values
Distance to the lowest polymorph of the same formula, meV/atom: 0
Raw formation energy, eV/atom: -0.6126
Total DFT energy (no corrections), eV/atom: -5.120


(2)
Density functional theory data (PBE-GGA) for crystalline Sc2Br2F at its relaxed geometry.

a b c (Å): 6.5457 6.5457 4.7909
angles (deg): 90.00 90.00 90.00
With the nearest neighbours (Å) after each atom.
Fractional coordinates of all 10 atoms:
Sc1 0.1789 0.3211 0.0000  2 F 2.41
Sc2 0.3211 0.8211 0.0000  2 F 2.41
Sc3 0.6789 0.1789 0.0000  2 F 2.41
Sc4 0.8211 0.6789 0.0000  2 F 2.41
Br1 0.1779 0.6779 0.5000  2 Sc 2.74
Br2 0.3221 0.1779 0.5000  2 Sc 2.74
Br3 0.6779 0.8221 0.5000  2 Sc 2.74
Br4 0.8221 0.3221 0.5000  2 Sc 2.74
F1 0.0000 0.0000 0.0000  4 Sc 2.41
F2 0.5000 0.5000 0.0000  4 Sc 2.41

Calculated values
Distance to the lowest polymorph of the same formula, meV/atom: 1
Raw formation energy, eV/atom: -1.5523
Total DFT energy (no corrections), eV/atom: -5.128


(3)
Density functional theory data (PBE-GGA) for crystalline Sc2BrF at its relaxed geometry.

a b c (Å): 6.4838 6.4838 6.4838
angles (deg): 90.00 90.00 90.00
With the nearest neighbours (Å) after each atom.
Fractional coordinates of all 16 atoms:
Sc1 0.2500 0.2500 0.2500  4 F 2.81, 4 Br 2.81
Sc2 0.2500 0.2500 0.7500  4 F 2.81, 4 Br 2.81
Sc3 0.2500 0.7500 0.2500  4 F 2.81, 4 Br 2.81
Sc4 0.2500 0.7500 0.7500  4 F 2.81, 4 Br 2.81
Sc5 0.7500 0.2500 0.2500  4 F 2.81, 4 Br 2.81
Sc6 0.7500 0.2500 0.7500  4 F 2.81, 4 Br 2.81
Sc7 0.7500 0.7500 0.2500  4 F 2.81, 4 Br 2.81
Sc8 0.7500 0.7500 0.7500  4 F 2.81, 4 Br 2.81
Br1 0.0000 0.0000 0.0000  8 Sc 2.81
Br2 0.0000 0.5000 0.5000  8 Sc 2.81
Br3 0.5000 0.0000 0.5000  8 Sc 2.81
Br4 0.5000 0.5000 0.0000  8 Sc 2.81
F1 0.0000 0.0000 0.5000  8 Sc 2.81
F2 0.0000 0.5000 0.0000  8 Sc 2.81
F3 0.5000 0.0000 0.0000  8 Sc 2.81
F4 0.5000 0.5000 0.5000  8 Sc 2.81

Calculated values
Distance to the lowest polymorph of the same formula, meV/atom: 554
Raw formation energy, eV/atom: -0.9691
Total DFT energy (no corrections), eV/atom: -5.021


(4)
Density functional theory data (PBE-GGA) for crystalline Sc2Br2F at its relaxed geometry.

a b c (Å): 5.5383 5.5383 7.6190
angles (deg): 90.00 90.00 90.00
With the nearest neighbours (Å) after each atom.
Fractional coordinates of all 10 atoms:
Sc1 0.0000 0.0000 0.2290  1 F 2.06
Sc2 0.0000 0.0000 0.7710  1 F 2.06
Sc3 0.5000 0.5000 0.2710  1 F 2.06
Sc4 0.5000 0.5000 0.7290  1 F 2.06
Br1 0.0000 0.5000 0.2500  4 Sc 2.77
Br2 0.0000 0.5000 0.7500  4 Sc 2.77
Br3 0.5000 0.0000 0.2500  4 Sc 2.77
Br4 0.5000 0.0000 0.7500  4 Sc 2.77
F1 0.0000 0.0000 0.5000  2 Sc 2.06
F2 0.5000 0.5000 0.0000  2 Sc 2.06

Calculated values
Distance to the lowest polymorph of the same formula, meV/atom: 0
Raw formation energy, eV/atom: -1.5530
Total DFT energy (no corrections), eV/atom: -5.129


(5)
Density functional theory data (PBE-GGA) for crystalline Sc2BrF at its relaxed geometry.

a b c (Å): 3.4213 3.4213 25.4631
angles (deg): 90.00 90.00 120.00
With the nearest neighbours (Å) after each atom.
Fractional coordinates of all 12 atoms:
Sc1 0.0000 0.0000 0.0790  1 F 2.01
Sc2 0.0000 0.0000 0.9210  1 F 2.01
Sc3 0.3333 0.6667 0.5877  1 F 2.01
Sc4 0.3333 0.6667 0.7456  1 F 2.01
Sc5 0.6667 0.3333 0.2544  1 F 2.01
Sc6 0.6667 0.3333 0.4123  1 F 2.01
Br1 0.0000 0.0000 0.5000  6 Sc 2.98
Br2 0.3333 0.6667 0.1667  6 Sc 2.98
Br3 0.6667 0.3333 0.8333  6 Sc 2.98
F1 0.0000 0.0000 0.0000  2 Sc 2.01
F2 0.3333 0.6667 0.6667  2 Sc 2.01
F3 0.6667 0.3333 0.3333  2 Sc 2.01

Calculated values
Distance to the lowest polymorph of the same formula, meV/atom: 0
Raw formation energy, eV/atom: -1.5233
Total DFT energy (no corrections), eV/atom: -5.575


(6)
Density functional theory data (PBE-GGA) for crystalline ScBrF at its relaxed geometry.

a b c (Å): 13.4602 3.4937 6.8685
angles (deg): 90.00 111.60 90.00
With the nearest neighbours (Å) after each atom.
Fractional coordinates of all 12 atoms:
Sc1 0.1139 0.0000 0.4815  2 F 2.03-2.05
Sc2 0.3861 0.5000 0.5185  2 F 2.03-2.05
Sc3 0.6139 0.5000 0.4815  2 F 2.03-2.05
Sc4 0.8861 0.0000 0.5185  2 F 2.03-2.05
Br1 0.1803 0.5000 0.2340  3 Sc 2.74-2.80
Br2 0.3197 0.0000 0.7660  3 Sc 2.74-2.80
Br3 0.6803 0.0000 0.2340  3 Sc 2.74-2.80
Br4 0.8197 0.5000 0.7660  3 Sc 2.74-2.80
F1 0.0439 0.0000 0.7009  2 Sc 2.03-2.05
F2 0.4561 0.5000 0.2991  2 Sc 2.03-2.05
F3 0.5439 0.5000 0.7009  2 Sc 2.03-2.05
F4 0.9561 0.0000 0.2991  2 Sc 2.03-2.05

Calculated values
Raw formation energy, eV/atom: -2.3120
Total DFT energy (no corrections), eV/atom: -5.604


(7)
Density functional theory data (PBE-GGA) for crystalline Sc2BrF at its relaxed geometry.

a b c (Å): 3.6412 3.6412 22.8723
angles (deg): 90.00 90.00 120.00
With the nearest neighbours (Å) after each atom.
Fractional coordinates of all 12 atoms:
Sc1 0.0000 0.0000 0.1135  3 F 2.43, 1 Br 2.60
Sc2 0.0000 0.0000 0.8865  3 F 2.43, 1 Br 2.60
Sc3 0.3333 0.6667 0.5532  3 F 2.43, 1 Br 2.60
Sc4 0.3333 0.6667 0.7802  3 F 2.43, 1 Br 2.60
Sc5 0.6667 0.3333 0.2198  3 F 2.43, 1 Br 2.60
Sc6 0.6667 0.3333 0.4468  3 F 2.43, 1 Br 2.60
Br1 0.0000 0.0000 0.0000  2 Sc 2.60
Br2 0.3333 0.6667 0.6667  2 Sc 2.60
Br3 0.6667 0.3333 0.3333  2 Sc 2.60
F1 0.0000 0.0000 0.5000  6 Sc 2.43
F2 0.3333 0.6667 0.1667  6 Sc 2.43
F3 0.6667 0.3333 0.8333  6 Sc 2.43

Calculated values
Distance to the lowest polymorph of the same formula, meV/atom: 277
Raw formation energy, eV/atom: -1.2462
Total DFT energy (no corrections), eV/atom: -5.298


(8)
Density functional theory data (PBE-GGA) for crystalline Sc2BrF at its relaxed geometry.

a b c (Å): 5.6523 5.6523 11.1134
angles (deg): 90.00 90.00 90.00
With the nearest neighbours (Å) after each atom.
Fractional coordinates of all 16 atoms:
Sc1 0.1728 0.2500 0.1250  2 F 2.21
Sc2 0.2500 0.6728 0.3750  2 F 2.21
Sc3 0.2500 0.8272 0.8750  2 F 2.21
Sc4 0.3272 0.2500 0.6250  2 F 2.21
Sc5 0.6728 0.7500 0.6250  2 F 2.21
Sc6 0.7500 0.1728 0.8750  2 F 2.21
Sc7 0.7500 0.3272 0.3750  2 F 2.21
Sc8 0.8272 0.7500 0.1250  2 F 2.21
Br1 0.0000 0.0000 0.5000  4 Sc 2.71
Br2 0.0000 0.5000 0.7500  4 Sc 2.71
Br3 0.5000 0.0000 0.2500  4 Sc 2.71
Br4 0.5000 0.5000 0.0000  4 Sc 2.71
F1 0.0000 0.0000 0.0000  4 Sc 2.21
F2 0.0000 0.5000 0.2500  4 Sc 2.21
F3 0.5000 0.0000 0.7500  4 Sc 2.21
F4 0.5000 0.5000 0.5000  4 Sc 2.21

Calculated values
Distance to the lowest polymorph of the same formula, meV/atom: 243
Raw formation energy, eV/atom: -1.2803
Total DFT energy (no corrections), eV/atom: -5.332


Number 1: calculated density 3936 kg/m³. Number 2: calculated density 4348 kg/m³. Number 3: calculated density 4601 kg/m³. Number 4: calculated density 3819 kg/m³. Number 5: calculated density 3644 kg/m³. Number 6: calculated density 3182 kg/m³. Number 7: calculated density 3582 kg/m³. Number 8: calculated density 3532 kg/m³.